The following is a DFT calculation (GGA-PBE) of a relaxed structure of Zr2TaMo.

Properties
The value obtained for the total magnetic moment is 0.00 μB per atom. As for the formation energy from the elements: 0.15 eV/atom. For the electronic total energy, the calculation gives -9.793 eV/atom. The volume comes out at 78.1 Å³/f.u. The value obtained for the energy relative to the lowest polymorph listed for this composition is 0.168 eV/atom.

a b c (Å): 6.787 6.787 6.787
angles (deg): 90.00 90.00 90.00
Space group Fm-3m (No. 225)
Symmetry-distinct sites (fractional):
Zr1 0.250 0.250 0.250
Ta1 0.000 0.000 0.000
Mo1 0.000 0.000 0.500


The following is a DFT calculation (GGA-PBE) of a relaxed structure of Ce7Ge3C2.

Properties
The value obtained for the total magnetic moment is 0.38 μB per atom. As for the formation energy from the elements: -0.44 eV/atom. For the electronic total energy, the calculation gives -6.588 eV/atom. The volume comes out at 275.7 Å³/f.u.

a b c (Å): 4.915 24.182 4.640
angles (deg): 90.00 90.00 90.00
Space group Cmmm (No. 65)
Symmetry-distinct sites (fractional):
Ce1 0.000 0.000 0.000
Ce2 0.000 0.091 0.500
Ce3 0.000 0.208 0.000
Ce4 0.000 0.398 0.000
Ge1 0.000 0.312 0.500
Ge2 0.000 0.500 0.500
C1 0.000 0.110 0.000


The following is a DFT calculation (GGA-PBE) of a relaxed structure of NiPb2.

Properties
The value obtained for the total magnetic moment is 0.00 μB per atom. As for the formation energy from the elements: 0.15 eV/atom. For the electronic total energy, the calculation gives -4.247 eV/atom. The volume comes out at 72.7 Å³/f.u.

a b c (Å): 3.321 3.321 26.352
angles (deg): 90.00 90.00 90.00
Space group I4_1/amd (No. 141, origin choice 2)
Symmetry-distinct sites (fractional):
Ni1 0.000 0.250 0.375
Pb1 0.000 0.250 0.812


The following is a DFT calculation (GGA-PBE) of a relaxed structure of TbCe2Er3Sb6.

Properties
The value obtained for the total magnetic moment is 0.13 μB per atom. For the electronic total energy, the calculation gives -5.663 eV/atom. The volume comes out at 363.7 Å³/f.u. The raw formation energy is -1.0859 eV/atom.

a b c (Å): 19.201 4.413 8.819
angles (deg): 90.00 103.25 90.00
Space group C2/m (No. 12)
Symmetry-distinct sites (fractional):
Tb1 0.000 0.000 0.000
Ce1 0.166 0.500 0.332
Er1 0.000 0.000 0.500
Er2 0.167 0.500 0.834
Sb1 0.002 0.500 0.749
Sb2 0.165 0.000 0.588
Sb3 0.167 0.000 0.078


The following is a DFT calculation (GGA-PBE) of a relaxed structure of FeOs.

Properties
The value obtained for the total magnetic moment is 0.88 μB per atom. As for the formation energy from the elements: 0.12 eV/atom. For the electronic total energy, the calculation gives -9.725 eV/atom. The volume comes out at 25.7 Å³/f.u.

a b c (Å): 3.706 3.706 7.491
angles (deg): 90.00 90.00 90.00
Space group I4_1/amd (No. 141, origin choice 2)
Symmetry-distinct sites (fractional):
Fe1 0.000 0.250 0.375
Os1 0.000 0.250 0.875


The following is a DFT calculation (GGA-PBE) of a relaxed structure of NbCrFe2B.

Properties
The value obtained for the total magnetic moment is 0.63 μB per atom. As for the formation energy from the elements: 1.65 eV/atom. For the electronic total energy, the calculation gives -7.006 eV/atom. The volume comes out at 77.4 Å³/f.u.

a b c (Å): 4.063 4.063 4.692
angles (deg): 90.00 90.00 90.00
Space group P4/mmm (No. 123)
Symmetry-distinct sites (fractional):
Nb1 0.000 0.000 0.000
Cr1 0.000 0.000 0.500
Fe1 0.000 0.500 0.500
B1 0.500 0.500 0.000


The following is a DFT calculation (GGA-PBE) of a relaxed structure of PrInHgSb.

Properties
The value obtained for the total magnetic moment is 0.00 μB per atom. For the electronic total energy, the calculation gives -3.368 eV/atom. The volume comes out at 113.9 Å³/f.u. The raw formation energy is -0.3827 eV/atom.

a b c (Å): 7.695 7.695 7.695
angles (deg): 90.00 90.00 90.00
Space group F-43m (No. 216)
Symmetry-distinct sites (fractional):
Pr1 0.000 0.000 0.000
In1 0.000 0.000 0.500
Hg1 0.250 0.250 0.750
Sb1 0.250 0.250 0.250


The following is a DFT calculation (GGA-PBE) of a relaxed structure of CsTl2Se6.

Properties
The value obtained for the total magnetic moment is 0.00 μB per atom. For the electronic total energy, the calculation gives -3.287 eV/atom. The volume comes out at 310.6 Å³/f.u. The raw formation energy is -0.3432 eV/atom.

a b c (Å): 12.605 9.112 5.797
angles (deg): 90.00 111.11 90.00
Space group Cm (No. 8)
Symmetry-distinct sites (fractional):
Cs1 0.000 0.000 0.000
Tl1 0.044 0.500 0.117
Tl2 0.331 0.000 0.528
Se1 0.015 0.265 0.511
Se2 0.214 0.294 0.743
Se3 0.255 0.282 0.174


The following is a DFT calculation (GGA-PBE) of a relaxed structure of MgZn2In.

Properties
The value obtained for the total magnetic moment is 0.00 μB per atom. As for the formation energy from the elements: -0.02 eV/atom. For the electronic total energy, the calculation gives -1.739 eV/atom. The volume comes out at 78.7 Å³/f.u.

a b c (Å): 3.514 4.304 5.477
angles (deg): 90.00 108.14 90.00
Space group Pm (No. 6)
Symmetry-distinct sites (fractional):
Mg1 0.000 0.000 0.000
Zn1 0.586 0.500 0.178
Zn2 0.724 0.000 0.452
In1 0.315 0.500 0.642


The following is a DFT calculation (GGA-PBE) of a relaxed structure of Sr2Ca2In.

Properties
The value obtained for the total magnetic moment is 0.00 μB per atom. As for the formation energy from the elements: 0.08 eV/atom. For the electronic total energy, the calculation gives -1.937 eV/atom. The volume comes out at 226.7 Å³/f.u. The value obtained for the energy relative to the lowest polymorph listed for this composition is 0.132 eV/atom.

a b c (Å): 8.618 8.618 6.105
angles (deg): 90.00 90.00 90.00
Space group P4/mbm (No. 127)
Symmetry-distinct sites (fractional):
Sr1 0.151 0.349 0.000
Ca1 0.166 0.666 0.500
In1 0.000 0.000 0.000